This record from OQMD via LeMat-Bulk describes an optimized crystal structure of NaInGePt. The functional is PBE.

a = 4.779 Å, b = 4.779 Å, c = 4.779 Å
α = 60.00°, β = 60.00°, γ = 60.00°
Element x y z (fractional)
Ge 0.000 0.000 0.000
In 0.250 0.250 0.250
Na 0.750 0.750 0.750
Pt 0.500 0.500 0.500

Results
Total moment in Bohr magnetons per cell: 0.0
Uncorrected energy in eV/atom: -3.74


This record from OQMD via LeMat-Bulk describes an optimized crystal structure of NaInGePt. The functional is PBE.

a = 4.712 Å, b = 4.712 Å, c = 4.712 Å
α = 60.00°, β = 60.00°, γ = 60.00°
Element x y z (fractional)
Ge 0.500 0.500 0.500
In 0.000 0.000 0.000
Na 0.750 0.750 0.750
Pt 0.250 0.250 0.250

Results
Total moment in Bohr magnetons per cell: 0.0
Uncorrected energy in eV/atom: -3.88


This record from OQMD via LeMat-Bulk describes an optimized crystal structure of NdInGe. The functional is PBE.

a = 7.678 Å, b = 7.678 Å, c = 4.383 Å
α = 90.00°, β = 90.00°, γ = 120.00°
Element x y z (fractional)
Ge 0.667 0.333 0.000
Ge 0.333 0.667 0.000
Ge 0.000 0.000 0.500
In 0.265 0.000 0.000
In 0.000 0.265 0.000
In 0.735 0.735 0.000
Nd 0.614 0.000 0.500
Nd 0.386 0.386 0.500
Nd 0.000 0.614 0.500

Results
Total moment in Bohr magnetons per cell: 0.0
Uncorrected energy in eV/atom: -4.58


This record from OQMD via LeMat-Bulk describes an optimized crystal structure of NdInGe. The functional is PBE.

a = 7.890 Å, b = 7.890 Å, c = 4.394 Å
α = 90.00°, β = 90.00°, γ = 120.00°
Element x y z (fractional)
Ge 0.667 0.333 0.000
Ge 0.333 0.667 0.000
Ge 0.000 0.000 0.500
In 0.402 0.000 0.500
In 0.000 0.402 0.500
In 0.598 0.598 0.500
Nd 0.725 0.000 0.000
Nd 0.275 0.275 0.000
Nd 0.000 0.725 0.000

Results
Total moment in Bohr magnetons per cell: 0.0
Uncorrected energy in eV/atom: -4.44


This record from OQMD via LeMat-Bulk describes an optimized crystal structure of Nd2In2Ge. The functional is PBE.

a = 14.276 Å, b = 14.276 Å, c = 4.678 Å
α = 90.00°, β = 90.00°, γ = 163.32°
Element x y z (fractional)
Ge 0.187 0.813 0.250
Ge 0.813 0.187 0.750
In 0.624 0.376 0.250
In 0.526 0.474 0.250
In 0.474 0.526 0.750
In 0.376 0.624 0.750
Nd 0.922 0.078 0.250
Nd 0.295 0.705 0.250
Nd 0.705 0.295 0.750
Nd 0.078 0.922 0.750

Results
Total moment in Bohr magnetons per cell: 0.0
Uncorrected energy in eV/atom: -4.49


This record from OQMD via LeMat-Bulk describes an optimized crystal structure of Nd2InGePt4. The functional is PBE.

a = 4.543 Å, b = 4.543 Å, c = 9.355 Å
α = 90.00°, β = 90.00°, γ = 120.00°
Element x y z (fractional)
Ge 0.000 0.000 0.500
In 0.000 0.000 0.000
Nd 0.667 0.333 0.254
Nd 0.333 0.667 0.746
Pt 0.333 0.667 0.089
Pt 0.333 0.667 0.419
Pt 0.667 0.333 0.581
Pt 0.667 0.333 0.911

Results
Total moment in Bohr magnetons per cell: 0.0
Uncorrected energy in eV/atom: -6.02